An optimized crystal structure of Sm15YSc4, computed with GGA-PBE.

abc: 5.0227 5.0227 25.0424
angles: 90.00 90.00 90.00
Atoms (fractional coordinates):
1 Sm 0.0000 0.0000 0.0000
2 Sm 0.0000 0.0000 0.2026
3 Sm 0.0000 0.0000 0.4008
4 Sm 0.0000 0.0000 0.5992
5 Sm 0.0000 0.0000 0.7974
6 Sm 0.0000 0.5000 0.1034
7 Sm 0.0000 0.5000 0.3016
8 Sm 0.0000 0.5000 0.5000
9 Sm 0.0000 0.5000 0.6984
10 Sm 0.0000 0.5000 0.8966
11 Sm 0.5000 0.0000 0.1034
12 Sm 0.5000 0.0000 0.3016
13 Sm 0.5000 0.0000 0.5000
14 Sm 0.5000 0.0000 0.6984
15 Sm 0.5000 0.0000 0.8966
16 Y 0.5000 0.5000 0.0000
17 Sc 0.5000 0.5000 0.2023
18 Sc 0.5000 0.5000 0.4008
19 Sc 0.5000 0.5000 0.5992
20 Sc 0.5000 0.5000 0.7977

Computed properties:
The energy of formation from the pure elements comes out at 0.031 eV per atom. As for the volume: 631.74 Å³ per cell. As for the space group: No. 123. As for the total energy: -5.098 eV per atom. The calculation puts the density of states at the Fermi level at 1.260 states/eV per atom.

An optimized crystal structure of CdWSe2, computed with GGA-PBE.

abc: 3.0509 3.0509 9.0376
angles: 90.00 90.00 90.00
Atoms (fractional coordinates):
1 Cd 0.0000 0.0000 0.0000
2 W 0.5000 0.5000 0.7665
3 Se 0.0000 0.0000 0.6082
4 Se 0.5000 0.5000 0.2631

Computed properties:
For the formation energy (no corrections), the calculation gives 0.20 eV per atom. As for the volume: 84.12 Å³ per cell. As for the space group: No. 99. As for the total energy: -5.007 eV per atom. The calculation puts the density of states at the Fermi level at 0.977 states/eV per atom.

An optimized crystal structure of HgSb2As, computed with GGA-PBE.

abc: 7.8732 7.8732 9.3134
angles: 117.54 117.54 30.01
Atoms (fractional coordinates):
1 Hg 0.1934 0.1934 0.0770
2 Hg 0.8066 0.8066 0.9230
3 Sb 0.0250 0.0250 0.2641
4 Sb 0.2161 0.2161 0.5728
5 Sb 0.7839 0.7839 0.4272
6 Sb 0.9750 0.9750 0.7359
7 As 0.4393 0.4393 0.3507
8 As 0.5607 0.5607 0.6493

Computed properties:
For the formation energy (no corrections), the calculation gives 0.03 eV per atom. As for the volume: 253.50 Å³ per cell. As for the excess energy over the best structure of this formula in the dataset: 0.000 eV per atom. As for the space group: No. 12. As for the total energy: -3.268 eV per atom. The calculation puts the density of states at the Fermi level at 0.073 states/eV per atom.

An optimized crystal structure of K2TlSnPd, computed with GGA-PBE.

abc: 6.0782 6.0782 5.2560
angles: 90.00 90.00 90.00
Atoms (fractional coordinates):
1 K 0.0000 0.5000 0.0000
2 K 0.5000 0.0000 0.0000
3 Tl 0.0000 0.0000 0.5000
4 Sn 0.5000 0.5000 0.5000
5 Pd 0.0000 0.0000 0.0000

Computed properties:
The energy of formation from the pure elements comes out at 0.179 eV per atom. As for the volume: 194.18 Å³ per cell. As for the space group: No. 123. As for the total energy: -2.572 eV per atom. The calculation puts the density of states at the Fermi level at 1.082 states/eV per atom.

An optimized crystal structure of BaNpInBr6, computed with GGA-PBE.

abc: 8.0554 8.0554 13.6059
angles: 90.00 90.00 120.00
Atoms (fractional coordinates):
1 Ba 0.3333 0.6667 0.2500
2 Ba 0.6667 0.3333 0.7500
3 Np 0.3333 0.6667 0.7500
4 Np 0.6667 0.3333 0.2500
5 In 0.0000 0.0000 0.0000
6 In 0.0000 0.0000 0.5000
7 Br 0.0330 0.3725 0.6296
8 Br 0.0330 0.6605 0.8704
9 Br 0.3395 0.3725 0.8704
10 Br 0.3395 0.9670 0.6296
11 Br 0.3725 0.0330 0.1296
12 Br 0.3725 0.3395 0.3704
13 Br 0.6275 0.6605 0.6296
14 Br 0.6275 0.9670 0.8704
15 Br 0.6605 0.0330 0.3704
16 Br 0.6605 0.6275 0.1296
17 Br 0.9670 0.3395 0.1296
18 Br 0.9670 0.6275 0.3704

Computed properties:
For the formation energy (no corrections), the calculation gives -1.45 eV per atom. As for the volume: 764.59 Å³ per cell. As for the space group: No. 163. As for the total energy: -4.518 eV per atom. The calculation puts the density of states at the Fermi level at 1.025 states/eV per atom.

An optimized crystal structure of Nd4Er10Tm, computed with GGA-PBE.

abc: 8.8672 8.8672 8.8672
angles: 101.49 101.49 126.98
Atoms (fractional coordinates):
1 Nd 0.2276 0.2276 0.4552
2 Nd 0.2276 0.7724 0.0000
3 Nd 0.7724 0.2276 0.0000
4 Nd 0.7724 0.7724 0.5448
5 Er 0.0854 0.2936 0.7919
6 Er 0.2500 0.7500 0.5000
7 Er 0.2936 0.0854 0.7919
8 Er 0.2936 0.5017 0.2081
9 Er 0.4983 0.7064 0.7919
10 Er 0.5017 0.2936 0.2081
11 Er 0.7064 0.4983 0.7919
12 Er 0.7064 0.9146 0.2081
13 Er 0.7500 0.2500 0.5000
14 Er 0.9146 0.7064 0.2081
15 Tm 0.0000 0.0000 0.0000

Computed properties:
The energy of formation from the pure elements comes out at 0.273 eV per atom. As for the volume: 498.39 Å³ per cell. As for the space group: No. 139. As for the total energy: -4.338 eV per atom. The calculation puts the density of states at the Fermi level at 1.465 states/eV per atom.

An optimized crystal structure of SrSn3Br, computed with GGA-PBE.

abc: 5.6537 5.6537 5.6537
angles: 90.00 90.00 90.00
Atoms (fractional coordinates):
1 Sr 0.0000 0.0000 0.0000
2 Sn 0.0000 0.5000 0.5000
3 Sn 0.5000 0.0000 0.5000
4 Sn 0.5000 0.5000 0.0000
5 Br 0.5000 0.5000 0.5000

Computed properties:
For the formation energy (no corrections), the calculation gives 0.12 eV per atom. As for the volume: 180.72 Å³ per cell. As for the excess energy over the best structure of this formula in the dataset: 0.000 eV per atom. As for the space group: No. 221. As for the total energy: -2.949 eV per atom. The calculation puts the density of states at the Fermi level at 0.956 states/eV per atom.

An optimized crystal structure of Ba2In6GaPd, computed with GGA-PBE.

abc: 7.2880 7.3181 7.6284
angles: 62.52 61.52 60.94
Atoms (fractional coordinates):
1 Ba 0.1935 0.1902 0.4327
2 Ba 0.8065 0.8098 0.5673
3 In 0.1604 0.6477 0.8599
4 In 0.3332 0.1599 0.8603
5 In 0.3486 0.6728 0.1400
6 In 0.6514 0.3272 0.8600
7 In 0.6668 0.8401 0.1397
8 In 0.8396 0.3523 0.1401
9 Ga 0.5000 0.5000 0.5000
10 Pd 0.0000 0.0000 0.0000

Computed properties:
The energy of formation from the pure elements comes out at -0.312 eV per atom. As for the volume: 298.29 Å³ per cell. As for the space group: No. 2. As for the total energy: -3.162 eV per atom. The calculation puts the density of states at the Fermi level at 0.384 states/eV per atom.

An optimized crystal structure of AsPtSe2, computed with GGA-PBE.

abc: 8.2769 8.2769 8.2769
angles: 26.04 26.04 26.04
Atoms (fractional coordinates):
1 As 0.0000 0.0000 0.0000
2 Pt 0.5000 0.5000 0.5000
3 Se 0.1101 0.1101 0.1101
4 Se 0.8899 0.8899 0.8899

Computed properties:
For the formation energy (no corrections), the calculation gives 0.04 eV per atom. As for the volume: 96.25 Å³ per cell. As for the space group: No. 166. As for the total energy: -4.375 eV per atom. The calculation puts the density of states at the Fermi level at 0.587 states/eV per atom.

An optimized crystal structure of Te2SeBrN, computed with GGA-PBE.

abc: 5.8020 5.8020 3.7131
angles: 90.00 90.00 90.00
Atoms (fractional coordinates):
1 Te 0.0000 0.5000 0.0000
2 Te 0.5000 0.0000 0.0000
3 Se 0.0000 0.0000 0.5000
4 Br 0.5000 0.5000 0.0000
5 N 0.5000 0.5000 0.5000

Computed properties:
For the formation energy (no corrections), the calculation gives 1.47 eV per atom. As for the volume: 124.99 Å³ per cell. As for the excess energy over the best structure of this formula in the dataset: 0.493 eV per atom. As for the space group: No. 123. As for the total energy: -2.487 eV per atom. The calculation puts the density of states at the Fermi level at 0.929 states/eV per atom.

An optimized crystal structure of CeInPd, computed with GGA-PBE.

abc: 6.3849 6.3849 6.3849
angles: 149.56 149.56 43.59
Atoms (fractional coordinates):
1 Ce 0.0000 0.0000 0.0000
2 In 0.2970 0.2970 0.0000
3 Pd 0.6612 0.6612 0.0000

Computed properties:
The energy of formation from the pure elements comes out at -0.538 eV per atom. As for the volume: 66.63 Å³ per cell. As for the space group: No. 107. As for the total energy: -5.160 eV per atom. The calculation puts the density of states at the Fermi level at 1.615 states/eV per atom.

An optimized crystal structure of KInW, computed with GGA-PBE.

abc: 6.8665 6.8665 6.8665
angles: 147.71 147.71 46.31
Atoms (fractional coordinates):
1 K 0.0000 0.0000 0.0000
2 In 0.7306 0.7306 0.0000
3 W 0.2726 0.2726 0.0000

Computed properties:
The energy of formation from the pure elements comes out at 1.208 eV per atom. As for the volume: 92.06 Å³ per cell. As for the excess energy over the best structure of this formula in the dataset: 0.302 eV per atom. As for the space group: No. 107. As for the total energy: -4.388 eV per atom. The calculation puts the density of states at the Fermi level at 0.466 states/eV per atom.